Li2MgCo3O8 after structural relaxation. Source: Alexandria, functional PBE with a Hubbard U.

Summary:
* E_tot: -5.650 eV per atom

```
data_Li2MgCo3O8
_chemical_formula_sum 'Li4 Mg2 Co6 O16'
_cell_length_a 9.9399
_cell_length_b 5.7367
_cell_length_c 5.9387
_cell_angle_alpha 90.00
_cell_angle_beta 124.85
_cell_angle_gamma 90.00
_symmetry_space_group_name_H-M 'C 1 2/m 1'
_symmetry_Int_Tables_number 12
loop_
_symmetry_equiv_pos_as_xyz
'x,y,z'
'-x,-y,-z'
'-x,y,-z'
'x,-y,z'
'x+1/2,y+1/2,z'
'-x+1/2,-y+1/2,-z'
'-x+1/2,y+1/2,-z'
'x+1/2,-y+1/2,z'
loop_
_atom_site_label
_atom_site_type_symbol
_atom_site_fract_x
_atom_site_fract_y
_atom_site_fract_z
Li1 Li 0.0000 0.0000 0.0000
Li2 Li 0.0000 0.5000 0.0000
Mg1 Mg 0.0000 0.0000 0.5000
Co1 Co 0.0000 0.5000 0.5000
Co2 Co 0.2500 0.2500 0.5000
O1 O 0.0208 0.2665 0.2942
O2 O 0.2387 0.5000 0.7056
O3 O 0.2478 0.0000 0.6995
```